No. 1
First-principles (GGA-PBEsol) data for a relaxed structure of Ce2Ga9CoGe2, as listed in the Alexandria database.

```
Ce2Ga9CoGe2
1.0
-1.9465 -3.5448 -4.2798
5.5350 -0.8317 -1.8285
1.2281 -11.4511 8.9258
Ce Ga Co Ge
4 18 2 4
Direct
0.0000 0.0000 0.7554 Ce
0.5000 0.5000 0.7554 Ce
0.5000 0.5000 0.2446 Ce
0.0000 0.0000 0.2446 Ce
0.7663 0.2663 0.9131 Ga
0.2337 0.2663 0.9131 Ga
0.7663 0.7337 0.9131 Ga
0.2337 0.7337 0.9131 Ga
0.7337 0.2337 0.0869 Ga
0.2663 0.2337 0.0869 Ga
0.7337 0.7663 0.0869 Ga
0.2663 0.7663 0.0869 Ga
0.7804 0.2804 0.5856 Ga
0.2196 0.2804 0.5856 Ga
0.7804 0.7196 0.5856 Ga
0.2196 0.7196 0.5856 Ga
0.7196 0.2196 0.4144 Ga
0.2804 0.2196 0.4144 Ga
0.7196 0.7804 0.4144 Ga
0.2804 0.7804 0.4144 Ga
0.0000 0.5000 0.3474 Ga
0.5000 0.0000 0.6526 Ga
0.0000 0.0000 0.0000 Co
0.5000 0.5000 0.0000 Co
0.0000 0.5000 0.1824 Ge
0.5000 0.0000 0.8176 Ge
0.0000 0.5000 0.7576 Ge
0.5000 0.0000 0.2424 Ge
```

Summary:
**Formation enthalpy at 0 K**: -0.411 eV per atom

=====

No. 2
First-principles (GGA-PBEsol) data for a relaxed structure of CeCoGe3, as listed in the Alexandria database.

```
CeCoGe3
1.0
-3.5124 -2.2549 -0.7826
2.0235 -3.5516 1.1514
-0.6890 3.5594 4.3589
Ce Co Ge
1 1 3
Direct
0.3337 0.3337 0.6673 Ce
0.0053 0.0053 0.0106 Co
0.5959 0.0959 0.1917 Ge
0.7714 0.7714 0.5428 Ge
0.0959 0.5959 0.1917 Ge
```

Summary:
**Formation enthalpy at 0 K**: -0.627 eV per atom

=====

No. 3
First-principles (GGA-PBEsol) data for a relaxed structure of CeCo2Ge2, as listed in the Alexandria database.

```
CeCo2Ge2
1.0
-1.7029 -2.7267 2.3798
2.3882 -2.8228 -1.5253
2.9954 3.7218 3.0465
Ge Co Ce
2 2 1
Direct
0.3689 0.3689 0.7378 Ge
0.6311 0.6311 0.2622 Ge
0.2500 0.7500 0.5000 Co
0.7500 0.2500 0.5000 Co
0.0000 0.0000 0.0000 Ce
```

Summary:
**Formation enthalpy at 0 K**: -0.606 eV per atom

=====

No. 4
First-principles (GGA-PBEsol) data for a relaxed structure of Ce2CoGe4Ru3, as listed in the Alexandria database.

```
Ce2CoGe4Ru3
1.0
4.1453 0.0000 0.0000
0.0000 4.1453 0.0000
0.0000 0.0000 9.9542
Ce Co Ge Ru
2 1 4 3
Direct
0.5000 0.0000 0.7485 Ce
0.0000 0.5000 0.2515 Ce
0.5000 0.5000 0.0000 Co
0.0000 0.5000 0.8810 Ge
0.5000 0.0000 0.3754 Ge
0.5000 0.0000 0.1190 Ge
0.0000 0.5000 0.6246 Ge
0.0000 0.0000 0.5000 Ru
0.0000 0.0000 0.0000 Ru
0.5000 0.5000 0.5000 Ru
```

Summary:
**Formation enthalpy at 0 K**: -0.605 eV per atom

=====

No. 5
First-principles (GGA-PBEsol) data for a relaxed structure of CeCo5H4, as listed in the Alexandria database.

```
CeCo5H4
1.0
3.9441 0.0000 0.0000
0.0000 5.0457 -0.0372
0.0000 -2.4049 4.4359
Ce Co H
1 5 4
Direct
0.5000 0.5000 0.5000 Ce
0.5000 0.8643 0.1357 Co
0.5000 0.1357 0.8643 Co
0.0000 0.0000 0.5000 Co
0.0000 0.5000 0.0000 Co
0.0000 0.0000 0.0000 Co
0.0000 0.6364 0.3636 H
0.0000 0.3636 0.6364 H
0.5000 0.0000 0.5000 H
0.5000 0.5000 0.0000 H
```

=====

No. 6
First-principles (GGA-PBEsol) data for a relaxed structure of CeIn5Co, as listed in the Alexandria database.

```
CeIn5Co
1.0
-1.9811 3.3540 2.3425
-3.1998 0.3513 -3.2092
-4.1505 -4.9623 3.5951
Ce In Co
1 5 1
Direct
0.0000 0.0000 0.0000 Ce
0.5000 0.5000 0.0000 In
0.5000 0.0000 0.6924 In
0.0000 0.5000 0.3076 In
0.5000 0.0000 0.3076 In
0.0000 0.5000 0.6924 In
0.0000 0.0000 0.5000 Co
```

Summary:
**Formation enthalpy at 0 K**: -0.287 eV per atom

=====

Number 1: V 505.19 Å³/cell, E -133.24 eV for the cell shown, density 7.3 g cm⁻³. Number 2: V 86.73 Å³/cell, E -32.28 eV for the cell shown, density 8.0 g cm⁻³. Number 3: V 78.55 Å³/cell, E -34.98 eV for the cell shown, density 8.5 g cm⁻³. Number 4: V 171.04 Å³/cell, E -77.26 eV for the cell shown, density 9.1 g cm⁻³. Number 5: V 87.93 Å³/cell, E -60.04 eV for the cell shown, density 8.3 g cm⁻³. Number 6: V 152.91 Å³/cell, E -31.26 eV for the cell shown, density 8.4 g cm⁻³.